! KCd2Bi2 | Alexandria via LeMat-Bulk | PBE-GGA | relaxed; values from VASP
! Symmetry: No. 139
! DOS at the Fermi energy in states/eV/atom: 0.357
! Excess energy over the best structure of this formula in the dataset in meV per atom: 14
! Uncorrected energy in Ry/atom: -0.1714
! Crystal system: tetragonal
! Formation enthalpy at 0 K in eV/atom: -0.19
&SYSTEM
  ibrav = 0, nat = 5, ntyp = 3
/
ATOMIC_SPECIES
K 39.10 K.upf
Cd 112.41 Cd.upf
Bi 208.98 Bi.upf
ATOMIC_POSITIONS angstrom
K 0.000 0.000 0.000
Cd -1.403 -7.400 4.545
Cd -1.459 -3.200 1.487
Bi -0.694 -6.246 1.703
Bi -2.168 -4.354 4.330
CELL_PARAMETERS angstrom
-3.807 -0.729 3.207
-0.860 -4.514 -2.047
1.806 -5.357 4.873